## NaMgC3 (GGA-PBE)

Data for a geometry-optimized NaMgC3 structure.

a = 4.2716 Å, b = 4.2716 Å, c = 4.2716 Å
α = 90.00°, β = 90.00°, γ = 90.00°
Space group Pm-3m (No. 221)
Symmetry-distinct sites (fractional):
Na 0.0000 0.0000 0.0000 x1
Mg 0.5000 0.5000 0.5000 x1
C 0.0000 0.5000 0.5000 x3

Summary:
**Calculated total energy**: -17.33 eV for the cell shown
**Fermi-level density of states**: 2.57 states/eV/cell
**Energy above the lowest structure with this stoichiometry**: 0 meV per atom
**Crystal system**: cubic

***

## NaMgC3 (GGA-PBE)

Data for a geometry-optimized NaMgC3 structure.

a = 4.2476 Å, b = 4.2476 Å, c = 4.2476 Å
α = 90.00°, β = 90.00°, γ = 90.00°
Space group Pm-3m (No. 221)
Symmetry-distinct sites (fractional):
Na 0.0000 0.0000 0.0000 x1
Mg 0.5000 0.5000 0.5000 x1
C 0.0000 0.0000 0.5000 x3

Summary:
**Calculated total energy**: -14.15 eV for the cell shown
**Fermi-level density of states**: 3.64 states/eV/cell
**Energy above the lowest structure with this stoichiometry**: 635 meV per atom
**Crystal system**: cubic

***

## NaMgC2 (GGA-PBE)

Data for a geometry-optimized NaMgC2 structure.

a = 3.9919 Å, b = 3.9919 Å, c = 14.8008 Å
α = 90.00°, β = 90.00°, γ = 90.00°
Space group I4_1/amd (No. 141, origin choice 2)
Symmetry-distinct sites (fractional):
Na 0.0000 0.2500 0.3750 x4
Mg 0.0000 0.2500 0.8750 x4
C 0.0000 0.0000 0.0000 x8

Summary:
**Calculated total energy**: -59.67 eV for the cell shown
**Fermi-level density of states**: 10.03 states/eV/cell
**Crystal system**: tetragonal

***

## NaMg3C (GGA-PBE)

Data for a geometry-optimized NaMg3C structure.

a = 5.4768 Å, b = 5.4768 Å, c = 5.4768 Å
α = 90.00°, β = 90.00°, γ = 90.00°
Space group Pm-3m (No. 221)
Symmetry-distinct sites (fractional):
Na 0.0000 0.0000 0.0000 x1
Mg 0.0000 0.0000 0.5000 x3
C 0.5000 0.5000 0.5000 x1

Summary:
**Calculated total energy**: -5.59 eV for the cell shown
**Fermi-level density of states**: 3.72 states/eV/cell
**Energy above the lowest structure with this stoichiometry**: 1612 meV per atom
**Crystal system**: cubic

***

## NaMg14C (GGA-PBE)

Data for a geometry-optimized NaMg14C structure.

a = 9.8289 Å, b = 6.2415 Å, c = 11.6527 Å
α = 90.00°, β = 90.00°, γ = 90.00°
Space group Amm2 (No. 38)
Symmetry-distinct sites (fractional):
Na 0.0000 0.0000 0.0000 x2
Mg 0.0000 0.2442 0.2402 x4
Mg 0.2218 0.2283 0.4100 x8
Mg 0.2448 0.0000 0.6589 x4
Mg 0.2592 0.0000 0.1532 x4
Mg 0.5000 0.0000 0.4960 x2
Mg 0.5000 0.0000 0.9847 x2
Mg 0.5000 0.2495 0.2536 x4
C 0.0000 0.0000 0.3804 x2

Summary:
**Calculated total energy**: -57.95 eV for the cell shown
**Fermi-level density of states**: 14.83 states/eV/cell
**Energy above the lowest structure with this stoichiometry**: 0 meV per atom
**Crystal system**: orthorhombic

***

## Na3MgC (GGA-PBE)

Data for a geometry-optimized Na3MgC structure.

a = 5.0453 Å, b = 5.0453 Å, c = 5.0453 Å
α = 90.00°, β = 90.00°, γ = 90.00°
Space group Pm-3m (No. 221)
Symmetry-distinct sites (fractional):
Na 0.0000 0.0000 0.5000 x3
Mg 0.5000 0.5000 0.5000 x1
C 0.0000 0.0000 0.0000 x1

Summary:
**Calculated total energy**: -10.47 eV for the cell shown
**Fermi-level density of states**: 2.24 states/eV/cell
**Energy above the lowest structure with this stoichiometry**: 0 meV per atom
**Crystal system**: cubic

***

## NaMg14C (GGA-PBE)

Data for a geometry-optimized NaMg14C structure.

a = 6.3418 Å, b = 6.3418 Å, c = 10.0165 Å
α = 90.00°, β = 90.00°, γ = 120.00°
Space group P-6m2 (No. 187)
Symmetry-distinct sites (fractional):
Na 0.0000 0.0000 0.0000 x1
Mg 0.0081 0.5040 0.0000 x3
Mg 0.1594 0.3188 0.2751 x6
Mg 0.5063 0.0127 0.5000 x3
Mg 0.6667 0.3333 0.2446 x2
C 0.0000 0.0000 0.5000 x1

Summary:
**Calculated total energy**: -28.13 eV for the cell shown
**Fermi-level density of states**: 6.53 states/eV/cell
**Energy above the lowest structure with this stoichiometry**: 53 meV per atom
**Crystal system**: hexagonal

***

## NaMg3C (GGA-PBE)

Data for a geometry-optimized NaMg3C structure.

a = 4.5726 Å, b = 4.5726 Å, c = 4.5726 Å
α = 90.00°, β = 90.00°, γ = 90.00°
Space group Pm-3m (No. 221)
Symmetry-distinct sites (fractional):
Na 0.0000 0.0000 0.0000 x1
Mg 0.0000 0.5000 0.5000 x3
C 0.5000 0.5000 0.5000 x1

Summary:
**Calculated total energy**: -13.65 eV for the cell shown
**Fermi-level density of states**: 3.74 states/eV/cell
**Energy above the lowest structure with this stoichiometry**: 0 meV per atom
**Crystal system**: cubic

***

## Na3MgC (GGA-PBE)

Data for a geometry-optimized Na3MgC structure.

a = 5.8990 Å, b = 5.8990 Å, c = 5.8990 Å
α = 90.00°, β = 90.00°, γ = 90.00°
Space group Pm-3m (No. 221)
Symmetry-distinct sites (fractional):
Na 0.0000 0.0000 0.5000 x3
Mg 0.0000 0.0000 0.0000 x1
C 0.5000 0.5000 0.5000 x1

Summary:
**Calculated total energy**: -6.82 eV for the cell shown
**Fermi-level density of states**: 2.33 states/eV/cell
**Energy above the lowest structure with this stoichiometry**: 729 meV per atom
**Crystal system**: cubic

***

## Na2MgNbC (GGA-PBE)

Data for a geometry-optimized Na2MgNbC structure.

a = 5.5266 Å, b = 5.5266 Å, c = 3.9799 Å
α = 90.00°, β = 90.00°, γ = 90.00°
Space group P4/mmm (No. 123)
Symmetry-distinct sites (fractional):
Na 0.0000 0.5000 0.0000 x2
Mg 0.0000 0.0000 0.0000 x1
Nb 0.5000 0.5000 0.5000 x1
C 0.0000 0.0000 0.5000 x1

Summary:
**Calculated total energy**: -15.17 eV for the cell shown
**Fermi-level density of states**: 3.86 states/eV/cell
**Crystal system**: tetragonal

***

## NaMg3C4O12 (GGA-PBE)

Data for a geometry-optimized NaMg3C4O12 structure.

a = 9.6016 Å, b = 9.6016 Å, c = 8.0111 Å
α = 90.00°, β = 90.00°, γ = 120.00°
Space group R32 (No. 155, hexagonal axes)
Symmetry-distinct sites (fractional):
Na 0.0000 0.0000 0.0000 x3
Mg 0.0000 0.5456 0.0000 x9
C 0.0000 0.0000 0.5000 x3
C 0.0000 0.4553 0.5000 x9
O 0.0000 0.5910 0.5000 x9
O 0.0000 0.8653 0.5000 x9
O 0.0096 0.2099 0.1899 x18

Summary:
**E_form (uncorrected)**: -180 kJ per mole of atoms
**Calculated total energy**: -419.29 eV for the cell shown
**Fermi-level density of states**: 25.10 states/eV/cell
**Crystal system**: trigonal

***

## NaMgC2O (GGA-PBE)

Data for a geometry-optimized NaMgC2O structure.

a = 3.9999 Å, b = 3.9999 Å, c = 6.0614 Å
α = 90.00°, β = 90.00°, γ = 90.00°
Space group P4/mmm (No. 123)
Symmetry-distinct sites (fractional):
Na 0.0000 0.0000 0.0000 x1
Mg 0.0000 0.0000 0.5000 x1
C 0.0000 0.5000 0.0000 x2
O 0.5000 0.5000 0.5000 x1

Summary:
**E_form (uncorrected)**: 269 kJ per mole of atoms
**Calculated total energy**: -12.36 eV for the cell shown
**Fermi-level density of states**: 2.71 states/eV/cell
**Crystal system**: tetragonal

***

## Na6Mg2C4SO16 (GGA-PBE)

Data for a geometry-optimized Na6Mg2C4SO16 structure.

a = 14.0512 Å, b = 14.0512 Å, c = 14.0512 Å
α = 90.00°, β = 90.00°, γ = 90.00°
Space group Fd-3 (No. 203, origin choice 2)
Symmetry-distinct sites (fractional):
Na 0.0930 0.3750 0.3750 x48
Mg 0.0000 0.0000 0.5000 x16
C 0.0323 0.0323 0.7177 x32
S 0.1250 0.1250 0.1250 x8
O 0.0171 0.2751 0.6032 x96
O 0.0634 0.0634 0.0634 x32

Summary:
**E_form (uncorrected)**: -180 kJ per mole of atoms
**Calculated total energy**: -1485.43 eV for the cell shown
**Fermi-level density of states**: 0.00 states/eV/cell
**Crystal system**: cubic

***

## RbNa2MgC (GGA-PBE)

Data for a geometry-optimized RbNa2MgC structure.

a = 5.2592 Å, b = 5.2592 Å, c = 5.6334 Å
α = 90.00°, β = 90.00°, γ = 90.00°
Space group P4/mmm (No. 123)
Symmetry-distinct sites (fractional):
Rb 0.0000 0.0000 0.0000 x1
Na 0.0000 0.5000 0.5000 x2
Mg 0.5000 0.5000 0.0000 x1
C 0.0000 0.0000 0.5000 x1

Summary:
**Calculated total energy**: -9.45 eV for the cell shown
**Fermi-level density of states**: 2.17 states/eV/cell
**Crystal system**: tetragonal

***

## NaMgRe2C (GGA-PBE)

Data for a geometry-optimized NaMgRe2C structure.

a = 4.7044 Å, b = 4.7044 Å, c = 4.4947 Å
α = 90.00°, β = 90.00°, γ = 90.00°
Space group P4/mmm (No. 123)
Symmetry-distinct sites (fractional):
Na 0.0000 0.0000 0.0000 x1
Mg 0.0000 0.0000 0.5000 x1
Re 0.0000 0.5000 0.0000 x2
C 0.5000 0.5000 0.5000 x1

Summary:
**Calculated total energy**: -18.32 eV for the cell shown
**Fermi-level density of states**: 2.94 states/eV/cell
**Crystal system**: tetragonal

***

## NaMgTe2C (GGA-PBE)

Data for a geometry-optimized NaMgTe2C structure.

a = 4.8782 Å, b = 4.8782 Å, c = 4.6266 Å
α = 90.00°, β = 90.00°, γ = 90.00°
Space group P4/mmm (No. 123)
Symmetry-distinct sites (fractional):
Na 0.0000 0.0000 0.0000 x1
Mg 0.5000 0.5000 0.0000 x1
Te 0.0000 0.5000 0.5000 x2
C 0.0000 0.0000 0.5000 x1

Summary:
**E_form (uncorrected)**: 57 kJ per mole of atoms
**Calculated total energy**: -15.48 eV for the cell shown
**Fermi-level density of states**: 2.46 states/eV/cell
**Crystal system**: tetragonal

***

## MgNb2C (GGA-PBE)

Data for a geometry-optimized MgNb2C structure.

a = 6.8887 Å, b = 6.8887 Å, c = 5.3870 Å
α = 90.00°, β = 90.00°, γ = 90.00°
Space group I-42d (No. 122)
Symmetry-distinct sites (fractional):
Mg 0.0000 0.0000 0.0000 x4
Nb 0.1648 0.2500 0.6250 x8
C 0.0000 0.0000 0.5000 x4

Summary:
**Calculated total energy**: -117.84 eV for the cell shown
**Fermi-level density of states**: 7.59 states/eV/cell
**Crystal system**: tetragonal

***

## MgNbC3 (GGA-PBE)

Data for a geometry-optimized MgNbC3 structure.

a = 4.1894 Å, b = 4.1894 Å, c = 4.1894 Å
α = 90.00°, β = 90.00°, γ = 90.00°
Space group Pm-3m (No. 221)
Symmetry-distinct sites (fractional):
Mg 0.0000 0.0000 0.0000 x1
Nb 0.5000 0.5000 0.5000 x1
C 0.0000 0.5000 0.5000 x3

Summary:
**Calculated total energy**: -31.29 eV for the cell shown
**Fermi-level density of states**: 3.24 states/eV/cell
**Energy above the lowest structure with this stoichiometry**: 0 meV per atom
**Crystal system**: cubic

***

## Mg6NbC (GGA-PBE)

Data for a geometry-optimized Mg6NbC structure.

a = 4.5316 Å, b = 5.5425 Å, c = 11.9275 Å
α = 90.00°, β = 90.00°, γ = 90.00°
Space group Amm2 (No. 38)
Symmetry-distinct sites (fractional):
Mg 0.0000 0.0000 0.0000 x2
Mg 0.0000 0.0000 0.4662 x2
Mg 0.0000 0.2466 0.2504 x4
Mg 0.5000 0.2465 0.1093 x4
Nb 0.5000 0.0000 0.8527 x2
C 0.5000 0.0000 0.2719 x2

Summary:
**Calculated total energy**: -47.58 eV for the cell shown
**Fermi-level density of states**: 8.80 states/eV/cell
**Energy above the lowest structure with this stoichiometry**: 345 meV per atom
**Crystal system**: orthorhombic

***

## MgNb2C (GGA-PBE)

Data for a geometry-optimized MgNb2C structure.

a = 3.1457 Å, b = 3.1457 Å, c = 24.6956 Å
α = 90.00°, β = 90.00°, γ = 120.00°
Space group R-3m (No. 166, hexagonal axes)
Symmetry-distinct sites (fractional):
Mg 0.0000 0.0000 0.0000 x3
Nb 0.0000 0.0000 0.1183 x6
C 0.0000 0.0000 0.5000 x3

Summary:
**Calculated total energy**: -92.90 eV for the cell shown
**Fermi-level density of states**: 9.16 states/eV/cell
**Crystal system**: trigonal